6
Lattice="3.514 0.000 0.000 0.000 5.871 0.000 -1.757 -2.936 8.942" Properties=species:S:1:pos:R:3 comment="GGA-PBE Pm2Tl3In, relaxed" total_magnetization_mub_per_atom=0.00 volume_a3_per_atom=30.75 crystal_system=orthorhombic formation_enthalpy_0k_ev_per_atom=-0.1092 energy_ev_per_atom=-3.33 pbc="T T T"
Tl 0.000 0.000 3.033
Tl 1.757 2.936 5.909
Tl 0.000 2.936 0.000
Pm 0.000 0.000 6.166
Pm 1.757 2.936 2.776
In 0.000 0.000 0.000

***

10
Lattice="5.006 0.000 1.144 0.000 5.134 0.000 -0.060 0.000 11.788" Properties=species:S:1:pos:R:3 comment="GGA-PBE Pm3TlIn, relaxed" total_magnetization_mub_per_atom=0.00 volume_a3_per_atom=30.33 crystal_system=orthorhombic de_polymorph_mev_per_atom=0 formation_enthalpy_0k_ev_per_atom=-0.3260 energy_ev_per_atom=-4.20 pbc="T T T"
Pm 1.865 1.284 10.835
Pm 0.342 3.851 5.974
Pm 1.320 3.851 1.694
Pm 2.843 1.284 6.556
Pm 3.820 1.284 2.280
Pm 4.371 3.851 11.394
Tl 3.334 3.851 4.404
Tl 4.856 1.284 9.270
In 2.354 3.851 8.692
In 0.830 1.284 3.838

***

7
Lattice="6.247 0.021 -2.186 -3.108 5.394 -2.247 0.012 -0.021 6.618" Properties=species:S:1:pos:R:3 comment="GGA-PBE Pm4TlIn2, relaxed" total_magnetization_mub_per_atom=0.00 volume_a3_per_atom=31.88 crystal_system=tetragonal de_polymorph_mev_per_atom=0 formation_enthalpy_0k_ev_per_atom=-0.3120 energy_ev_per_atom=-4.15 pbc="T T T"
In 3.129 0.000 2.216
In 1.570 2.707 -2.216
Pm 0.006 -0.010 3.309
Pm 1.576 2.697 1.093
Pm -1.554 2.697 -1.123
Pm 3.123 0.010 -1.093
Tl 0.000 0.000 0.000